# SCAN Cs2LiNdCl6, PBEsol geometry
# energy	-0.710	Ha/atom
# calculated volume	29.067	Å³ per atom
data_Cs2LiNdCl6
_space_group_name_H-M_alt 'P 1'
_space_group_IT_number 1
_cell_length_a 7.435
_cell_length_b 7.435
_cell_length_c 7.435
_cell_angle_alpha 60.00
_cell_angle_beta 60.00
_cell_angle_gamma 60.00
loop_
_space_group_symop_operation_xyz
'x,y,z'
loop_
_atom_site_label
_atom_site_fract_x
_atom_site_fract_y
_atom_site_fract_z
Cs1 0.750 0.750 0.750
Cs2 0.250 0.250 0.250
Li1 0.500 0.500 0.500
Nd1 0.000 0.000 0.000
Cl1 0.743 0.257 0.257
Cl2 0.743 0.743 0.257
Cl3 0.257 0.743 0.743
Cl4 0.743 0.257 0.743
Cl5 0.257 0.743 0.257
Cl6 0.257 0.257 0.743


# SCAN CsLiSCl2, PBEsol geometry
# energy	-0.495	Ha/atom
# calculated volume	42.865	Å³ per atom
data_CsLiSCl2
_space_group_name_H-M_alt 'P 1'
_space_group_IT_number 1
_cell_length_a 5.579
_cell_length_b 6.198
_cell_length_c 6.198
_cell_angle_alpha 90.00
_cell_angle_beta 90.00
_cell_angle_gamma 90.00
loop_
_space_group_symop_operation_xyz
'x,y,z'
loop_
_atom_site_label
_atom_site_fract_x
_atom_site_fract_y
_atom_site_fract_z
Cs1 0.000 0.000 0.000
S1 0.500 0.000 0.000
Li1 0.500 0.500 0.500
Cl1 0.000 0.000 0.500
Cl2 0.000 0.500 0.000


# SCAN Cs2LiTmCl6, PBEsol geometry
# energy	-0.741	Ha/atom
# calculated volume	27.331	Å³ per atom
data_Cs2LiTmCl6
_space_group_name_H-M_alt 'P 1'
_space_group_IT_number 1
_cell_length_a 7.284
_cell_length_b 7.284
_cell_length_c 7.284
_cell_angle_alpha 60.00
_cell_angle_beta 60.00
_cell_angle_gamma 60.00
loop_
_space_group_symop_operation_xyz
'x,y,z'
loop_
_atom_site_label
_atom_site_fract_x
_atom_site_fract_y
_atom_site_fract_z
Cs1 0.750 0.750 0.750
Cs2 0.250 0.250 0.250
Tm1 0.500 0.500 0.500
Li1 0.000 0.000 0.000
Cl1 0.250 0.250 0.750
Cl2 0.250 0.750 0.750
Cl3 0.250 0.750 0.250
Cl4 0.750 0.750 0.250
Cl5 0.750 0.250 0.250
Cl6 0.750 0.250 0.750


# SCAN Cs2NaLuCl6, PBEsol geometry
# energy	-0.761	Ha/atom
# calculated volume	29.370	Å³ per atom
data_Cs2NaLuCl6
_space_group_name_H-M_alt 'P 1'
_space_group_IT_number 1
_cell_length_a 7.461
_cell_length_b 7.461
_cell_length_c 7.461
_cell_angle_alpha 60.00
_cell_angle_beta 60.00
_cell_angle_gamma 60.00
loop_
_space_group_symop_operation_xyz
'x,y,z'
loop_
_atom_site_label
_atom_site_fract_x
_atom_site_fract_y
_atom_site_fract_z
Cs1 0.750 0.750 0.750
Cs2 0.250 0.250 0.250
Na1 0.500 0.500 0.500
Lu1 0.000 0.000 0.000
Cl1 0.759 0.759 0.241
Cl2 0.241 0.759 0.241
Cl3 0.241 0.241 0.759
Cl4 0.759 0.241 0.759
Cl5 0.759 0.241 0.241
Cl6 0.241 0.759 0.759


# SCAN CsMgCl3, PBEsol geometry
# energy	-0.572	Ha/atom
# calculated volume	27.597	Å³ per atom
data_CsMgCl3
_space_group_name_H-M_alt 'P 1'
_space_group_IT_number 1
_cell_length_a 6.144
_cell_length_b 7.202
_cell_length_c 7.202
_cell_angle_alpha 120.00
_cell_angle_beta 90.00
_cell_angle_gamma 90.00
loop_
_space_group_symop_operation_xyz
'x,y,z'
loop_
_atom_site_label
_atom_site_fract_x
_atom_site_fract_y
_atom_site_fract_z
Cs1 0.750 0.333 0.667
Cs2 0.250 0.667 0.333
Mg1 0.500 0.000 0.000
Mg2 0.000 0.000 0.000
Cl1 0.750 0.315 0.157
Cl2 0.750 0.843 0.157
Cl3 0.250 0.685 0.843
Cl4 0.750 0.843 0.685
Cl5 0.250 0.157 0.315
Cl6 0.250 0.157 0.843


# SCAN Cs2MgCl4, PBEsol geometry
# energy	-0.671	Ha/atom
# calculated volume	33.748	Å³ per atom
data_Cs2MgCl4
_space_group_name_H-M_alt 'P 1'
_space_group_IT_number 1
_cell_length_a 7.227
_cell_length_b 9.711
_cell_length_c 13.464
_cell_angle_alpha 90.00
_cell_angle_beta 90.00
_cell_angle_gamma 90.00
loop_
_space_group_symop_operation_xyz
'x,y,z'
loop_
_atom_site_label
_atom_site_fract_x
_atom_site_fract_y
_atom_site_fract_z
Cl1 0.250 0.013 0.416
Cl2 0.750 0.487 0.916
Cl3 0.750 0.987 0.584
Cl4 0.250 0.513 0.084
Cl5 0.250 0.685 0.589
Cl6 0.750 0.815 0.089
Cl7 0.750 0.315 0.411
Cl8 0.250 0.185 0.911
Cl9 0.995 0.676 0.350
Cl10 0.005 0.824 0.850
Cl11 0.495 0.324 0.650
Cl12 0.505 0.176 0.150
Cl13 0.005 0.324 0.650
Cl14 0.995 0.176 0.150
Cl15 0.505 0.676 0.350
Cl16 0.495 0.824 0.850
Cs1 0.250 0.369 0.421
Cs2 0.750 0.131 0.921
Cs3 0.750 0.631 0.579
Cs4 0.250 0.869 0.079
Cs5 0.250 0.017 0.679
Cs6 0.750 0.483 0.179
Cs7 0.750 0.983 0.321
Cs8 0.250 0.517 0.821
Mg1 0.250 0.776 0.428
Mg2 0.750 0.724 0.928
Mg3 0.750 0.224 0.572
Mg4 0.250 0.276 0.072


# SCAN Cs2MnCl4, PBEsol geometry
# energy	-0.734	Ha/atom
# calculated volume	30.584	Å³ per atom
data_Cs2MnCl4
_space_group_name_H-M_alt 'P 1'
_space_group_IT_number 1
_cell_length_a 5.070
_cell_length_b 5.070
_cell_length_c 9.068
_cell_angle_alpha 106.23
_cell_angle_beta 106.23
_cell_angle_gamma 90.00
loop_
_space_group_symop_operation_xyz
'x,y,z'
loop_
_atom_site_label
_atom_site_fract_x
_atom_site_fract_y
_atom_site_fract_z
Cs1 0.643 0.643 0.285
Cs2 0.357 0.357 0.715
Mn1 0.000 0.000 0.000
Cl1 0.851 0.851 0.702
Cl2 0.149 0.149 0.298
Cl3 0.500 0.000 0.000
Cl4 0.000 0.500 0.000


# SCAN Cs3MnCl5, PBEsol geometry
# energy	-0.776	Ha/atom
# calculated volume	33.614	Å³ per atom
data_Cs3MnCl5
_space_group_name_H-M_alt 'P 1'
_space_group_IT_number 1
_cell_length_a 9.106
_cell_length_b 9.732
_cell_length_c 9.106
_cell_angle_alpha 62.11
_cell_angle_beta 90.00
_cell_angle_gamma 117.89
loop_
_space_group_symop_operation_xyz
'x,y,z'
loop_
_atom_site_label
_atom_site_fract_x
_atom_site_fract_y
_atom_site_fract_z
Cs1 0.838 0.000 0.662
Cs2 0.662 0.000 0.162
Cs3 0.162 0.000 0.338
Cs4 0.250 0.500 0.750
Cs5 0.338 0.000 0.838
Cs6 0.750 0.500 0.250
Mn1 0.250 0.500 0.250
Mn2 0.750 0.500 0.750
Cl1 0.500 0.000 0.500
Cl2 0.798 0.310 0.702
Cl3 0.298 0.310 0.489
Cl4 0.702 0.690 0.511
Cl5 0.989 0.690 0.798
Cl6 0.511 0.310 0.989
Cl7 0.489 0.690 0.011
Cl8 0.202 0.690 0.298
Cl9 0.011 0.310 0.202
Cl10 0.000 0.000 0.000


# SCAN Cs3Mo2Cl9, PBEsol geometry
# energy	-0.730	Ha/atom
# calculated volume	28.711	Å³ per atom
data_Cs3Mo2Cl9
_space_group_name_H-M_alt 'P 1'
_space_group_IT_number 1
_cell_length_a 7.235
_cell_length_b 7.235
_cell_length_c 17.732
_cell_angle_alpha 90.00
_cell_angle_beta 90.00
_cell_angle_gamma 120.00
loop_
_space_group_symop_operation_xyz
'x,y,z'
loop_
_atom_site_label
_atom_site_fract_x
_atom_site_fract_y
_atom_site_fract_z
Cs1 0.000 0.000 0.250
Cs2 0.000 0.000 0.750
Cs3 0.333 0.667 0.429
Cs4 0.667 0.333 0.929
Cs5 0.667 0.333 0.571
Cs6 0.333 0.667 0.071
Mo1 0.333 0.667 0.673
Mo2 0.667 0.333 0.173
Mo3 0.667 0.333 0.327
Mo4 0.333 0.667 0.827
Cl1 0.991 0.496 0.250
Cl2 0.496 0.504 0.750
Cl3 0.496 0.991 0.750
Cl4 0.504 0.009 0.250
Cl5 0.504 0.496 0.250
Cl6 0.009 0.504 0.750
Cl7 0.355 0.178 0.405
Cl8 0.178 0.822 0.905
Cl9 0.178 0.355 0.905
Cl10 0.822 0.645 0.405
Cl11 0.822 0.178 0.405
Cl12 0.645 0.822 0.595
Cl13 0.178 0.822 0.595
Cl14 0.645 0.822 0.905
Cl15 0.178 0.355 0.595
Cl16 0.822 0.645 0.095
Cl17 0.355 0.178 0.095
Cl18 0.822 0.178 0.095


# SCAN CsNCl3, PBEsol geometry
# energy	-0.521	Ha/atom
# calculated volume	20.960	Å³ per atom
data_CsNCl3
_space_group_name_H-M_alt 'P 1'
_space_group_IT_number 1
_cell_length_a 4.715
_cell_length_b 4.715
_cell_length_c 4.715
_cell_angle_alpha 90.00
_cell_angle_beta 90.00
_cell_angle_gamma 90.00
loop_
_space_group_symop_operation_xyz
'x,y,z'
loop_
_atom_site_label
_atom_site_fract_x
_atom_site_fract_y
_atom_site_fract_z
Cs1 0.500 0.500 0.500
N1 0.000 0.000 0.000
Cl1 0.000 0.500 0.000
Cl2 0.000 0.000 0.500
Cl3 0.500 0.000 0.000


# SCAN Cs2N2Cl, PBEsol geometry
# energy	-0.787	Ha/atom
# calculated volume	26.803	Å³ per atom
data_Cs2N2Cl
_space_group_name_H-M_alt 'P 1'
_space_group_IT_number 1
_cell_length_a 3.902
_cell_length_b 8.288
_cell_length_c 8.288
_cell_angle_alpha 90.00
_cell_angle_beta 90.00
_cell_angle_gamma 90.00
loop_
_space_group_symop_operation_xyz
'x,y,z'
loop_
_atom_site_label
_atom_site_fract_x
_atom_site_fract_y
_atom_site_fract_z
Cs1 0.500 0.227 0.727
Cs2 0.500 0.727 0.773
Cs3 0.500 0.773 0.273
Cs4 0.500 0.273 0.227
N1 0.000 0.450 0.950
N2 0.000 0.950 0.550
N3 0.000 0.550 0.050
N4 0.000 0.050 0.450
Cl1 0.000 0.000 0.000
Cl2 0.000 0.500 0.500


# SCAN CsNaCl2, PBEsol geometry
# energy	-0.607	Ha/atom
# calculated volume	33.173	Å³ per atom
data_CsNaCl2
_space_group_name_H-M_alt 'P 1'
_space_group_IT_number 1
_cell_length_a 7.022
_cell_length_b 7.022
_cell_length_c 7.022
_cell_angle_alpha 105.17
_cell_angle_beta 111.66
_cell_angle_gamma 111.66
loop_
_space_group_symop_operation_xyz
'x,y,z'
loop_
_atom_site_label
_atom_site_fract_x
_atom_site_fract_y
_atom_site_fract_z
Cs1 0.000 0.000 0.000
Cs2 0.500 0.750 0.250
Na1 0.000 0.500 0.500
Na2 0.500 0.250 0.750
Cl1 0.931 0.556 0.125
Cl2 0.069 0.194 0.625
Cl3 0.569 0.375 0.444
Cl4 0.431 0.875 0.806


# SCAN Cs2NaNbCl, PBEsol geometry
# energy	-0.881	Ha/atom
# calculated volume	55.061	Å³ per atom
data_Cs2NaNbCl
_space_group_name_H-M_alt 'P 1'
_space_group_IT_number 1
_cell_length_a 4.786
_cell_length_b 7.585
_cell_length_c 7.585
_cell_angle_alpha 90.00
_cell_angle_beta 90.00
_cell_angle_gamma 90.00
loop_
_space_group_symop_operation_xyz
'x,y,z'
loop_
_atom_site_label
_atom_site_fract_x
_atom_site_fract_y
_atom_site_fract_z
Cs1 0.000 0.000 0.500
Cs2 0.000 0.500 0.000
Na1 0.500 0.500 0.500
Nb1 0.000 0.000 0.000
Cl1 0.500 0.000 0.000


# SCAN Cs2NaSbCl6, PBEsol geometry
# energy	-0.670	Ha/atom
# calculated volume	30.679	Å³ per atom
data_Cs2NaSbCl6
_space_group_name_H-M_alt 'P 1'
_space_group_IT_number 1
_cell_length_a 7.570
_cell_length_b 7.570
_cell_length_c 7.570
_cell_angle_alpha 60.00
_cell_angle_beta 60.00
_cell_angle_gamma 60.00
loop_
_space_group_symop_operation_xyz
'x,y,z'
loop_
_atom_site_label
_atom_site_fract_x
_atom_site_fract_y
_atom_site_fract_z
Cs1 0.750 0.750 0.750
Cs2 0.250 0.250 0.250
Sb1 0.000 0.000 0.000
Na1 0.500 0.500 0.500
Cl1 0.754 0.246 0.246
Cl2 0.754 0.754 0.246
Cl3 0.246 0.754 0.754
Cl4 0.754 0.246 0.754
Cl5 0.246 0.754 0.246
Cl6 0.246 0.246 0.754


# SCAN Cs2NaScCl6, PBEsol geometry
# energy	-0.608	Ha/atom
# calculated volume	28.195	Å³ per atom
data_Cs2NaScCl6
_space_group_name_H-M_alt 'P 1'
_space_group_IT_number 1
_cell_length_a 7.360
_cell_length_b 7.360
_cell_length_c 7.360
_cell_angle_alpha 60.00
_cell_angle_beta 60.00
_cell_angle_gamma 60.00
loop_
_space_group_symop_operation_xyz
'x,y,z'
loop_
_atom_site_label
_atom_site_fract_x
_atom_site_fract_y
_atom_site_fract_z
Cs1 0.750 0.750 0.750
Cs2 0.250 0.250 0.250
Na1 0.500 0.500 0.500
Sc1 0.000 0.000 0.000
Cl1 0.762 0.238 0.238
Cl2 0.762 0.762 0.238
Cl3 0.238 0.762 0.762
Cl4 0.762 0.238 0.762
Cl5 0.238 0.762 0.238
Cl6 0.238 0.238 0.762


# SCAN Cs2NaSmCl6, PBEsol geometry
# energy	-0.720	Ha/atom
# calculated volume	31.140	Å³ per atom
data_Cs2NaSmCl6
_space_group_name_H-M_alt 'P 1'
_space_group_IT_number 1
_cell_length_a 7.608
_cell_length_b 7.608
_cell_length_c 7.608
_cell_angle_alpha 60.00
_cell_angle_beta 60.00
_cell_angle_gamma 60.00
loop_
_space_group_symop_operation_xyz
'x,y,z'
loop_
_atom_site_label
_atom_site_fract_x
_atom_site_fract_y
_atom_site_fract_z
Cs1 0.750 0.750 0.750
Cs2 0.250 0.250 0.250
Na1 0.500 0.500 0.500
Sm1 0.000 0.000 0.000
Cl1 0.753 0.247 0.247
Cl2 0.753 0.753 0.247
Cl3 0.247 0.753 0.753
Cl4 0.753 0.247 0.753
Cl5 0.247 0.753 0.247
Cl6 0.247 0.247 0.753


# SCAN Cs2NaTbCl6, PBEsol geometry
# energy	-0.729	Ha/atom
# calculated volume	30.406	Å³ per atom
data_Cs2NaTbCl6
_space_group_name_H-M_alt 'P 1'
_space_group_IT_number 1
_cell_length_a 7.548
_cell_length_b 7.548
_cell_length_c 7.548
_cell_angle_alpha 60.00
_cell_angle_beta 60.00
_cell_angle_gamma 60.00
loop_
_space_group_symop_operation_xyz
'x,y,z'
loop_
_atom_site_label
_atom_site_fract_x
_atom_site_fract_y
_atom_site_fract_z
Cs1 0.750 0.750 0.750
Cs2 0.250 0.250 0.250
Na1 0.500 0.500 0.500
Tb1 0.000 0.000 0.000
Cl1 0.755 0.755 0.245
Cl2 0.245 0.755 0.245
Cl3 0.245 0.245 0.755
Cl4 0.755 0.245 0.755
Cl5 0.755 0.245 0.245
Cl6 0.245 0.755 0.755


# SCAN Cs2NaUCl6, PBEsol geometry
# energy	-0.927	Ha/atom
# calculated volume	31.736	Å³ per atom
data_Cs2NaUCl6
_space_group_name_H-M_alt 'P 1'
_space_group_IT_number 1
_cell_length_a 7.656
_cell_length_b 7.656
_cell_length_c 7.656
_cell_angle_alpha 60.00
_cell_angle_beta 60.00
_cell_angle_gamma 60.00
loop_
_space_group_symop_operation_xyz
'x,y,z'
loop_
_atom_site_label
_atom_site_fract_x
_atom_site_fract_y
_atom_site_fract_z
Cs1 0.250 0.250 0.250
Cs2 0.750 0.750 0.750
Na1 0.500 0.500 0.500
U1 0.000 0.000 0.000
Cl1 0.751 0.249 0.751
Cl2 0.249 0.751 0.249
Cl3 0.249 0.249 0.751
Cl4 0.751 0.751 0.249
Cl5 0.249 0.751 0.751
Cl6 0.751 0.249 0.249


# SCAN Cs3NiCl5, PBEsol geometry
# energy	-0.757	Ha/atom
# calculated volume	32.884	Å³ per atom
data_Cs3NiCl5
_space_group_name_H-M_alt 'P 1'
_space_group_IT_number 1
_cell_length_a 9.061
_cell_length_b 9.645
_cell_length_c 9.061
_cell_angle_alpha 118.02
_cell_angle_beta 90.00
_cell_angle_gamma 118.02
loop_
_space_group_symop_operation_xyz
'x,y,z'
loop_
_atom_site_label
_atom_site_fract_x
_atom_site_fract_y
_atom_site_fract_z
Cs1 0.250 0.500 0.250
Cs2 0.750 0.500 0.750
Cs3 0.835 0.000 0.665
Cs4 0.165 0.000 0.335
Cs5 0.335 0.000 0.835
Cs6 0.665 0.000 0.165
Ni1 0.250 0.500 0.750
Ni2 0.750 0.500 0.250
Cl1 0.000 0.000 0.000
Cl2 0.500 0.000 0.500
Cl3 0.520 0.309 0.290
Cl4 0.790 0.309 0.020
Cl5 0.020 0.309 0.520
Cl6 0.290 0.309 0.790
Cl7 0.480 0.691 0.710
Cl8 0.210 0.691 0.980
Cl9 0.980 0.691 0.480
Cl10 0.710 0.691 0.210


# SCAN CsNiCl3, PBEsol geometry
# energy	-0.631	Ha/atom
# calculated volume	25.277	Å³ per atom
data_CsNiCl3
_space_group_name_H-M_alt 'P 1'
_space_group_IT_number 1
_cell_length_a 5.830
_cell_length_b 7.075
_cell_length_c 7.075
_cell_angle_alpha 120.00
_cell_angle_beta 90.00
_cell_angle_gamma 90.00
loop_
_space_group_symop_operation_xyz
'x,y,z'
loop_
_atom_site_label
_atom_site_fract_x
_atom_site_fract_y
_atom_site_fract_z
Cs1 0.250 0.667 0.333
Cs2 0.750 0.333 0.667
Ni1 0.000 0.000 0.000
Ni2 0.500 0.000 0.000
Cl1 0.750 0.305 0.152
Cl2 0.250 0.152 0.848
Cl3 0.250 0.152 0.305
Cl4 0.750 0.848 0.695
Cl5 0.250 0.695 0.848
Cl6 0.750 0.848 0.152


# SCAN Cs2Ni2Cl, PBEsol geometry
# energy	-0.863	Ha/atom
# calculated volume	25.409	Å³ per atom
data_Cs2Ni2Cl
_space_group_name_H-M_alt 'P 1'
_space_group_IT_number 1
_cell_length_a 3.508
_cell_length_b 3.508
_cell_length_c 10.616
_cell_angle_alpha 99.51
_cell_angle_beta 99.51
_cell_angle_gamma 90.00
loop_
_space_group_symop_operation_xyz
'x,y,z'
loop_
_atom_site_label
_atom_site_fract_x
_atom_site_fract_y
_atom_site_fract_z
Cs1 0.392 0.392 0.785
Cs2 0.608 0.608 0.215
Ni1 0.250 0.750 0.500
Ni2 0.750 0.250 0.500
Cl1 0.000 0.000 0.000


The records above give, respectively, formation energy (no corrections) values of -2.3726 -0.3203 -2.3967 -2.4054 -2.2157 -2.1950 -2.0008 -2.0461 -1.6592 0.0247 -0.9815 -2.0313 0.2233 -1.7260 -2.3415 -2.3888 -2.3986 -2.1140 -1.7743 -1.5936 -0.3052 eV/atom.